A plane-wave DFT calculation with GGA-PBE was carried out for Er3AsP2Ir9 after structural relaxation.

The structure in CIF format:
```
data_Er3AsP2Ir9
_symmetry_space_group_name_H-M 'P -3 m 1'
_symmetry_Int_Tables_number 164
_symmetry_space_group_name_Hall '-P 3 2"'
_cell_length_a 6.1190
_cell_length_b 6.1190
_cell_length_c 8.8362
_cell_angle_alpha 90.00
_cell_angle_beta 90.00
_cell_angle_gamma 120.00
loop_
_atom_site_label
_atom_site_fract_x
_atom_site_fract_y
_atom_site_fract_z
_atom_site_occupancy
Er1 0.0000 0.0000 0.0000 1
Er2 0.3333 0.6667 0.7148 1
As1 0.0000 0.0000 0.5000 1
P1 0.3333 0.6667 0.1719 1
Ir1 0.0000 0.5000 0.0000 1
Ir2 0.1462 0.2924 0.2786 1
```

- V (Å³ per atom) = 19.1
- calculated density (g/cm3) = 13.7
- magnetic moment (μB/atom) = 0.00
- DOS at the Fermi energy (states/eV/f.u.) = 14.50
- energy relative to the elements (meV/atom) = -360.1